Hf2ZrC3: relaxed, PBE-GGA.

Results
E	-10.25	eV/atom
space-group type	Pnma (62)

a = 4.671 Å, b = 6.605 Å, c = 9.934 Å
α = 90.00°, β = 90.00°, γ = 90.00°
Sites, in units of the cell vectors:
Hf (0.250, 0.375, 0.083)
Hf (0.750, 0.125, 0.583)
Hf (0.250, 0.375, 0.750)
Hf (0.250, 0.875, 0.417)
Hf (0.250, 0.875, 0.750)
Hf (0.750, 0.625, 0.250)
Hf (0.750, 0.625, 0.917)
Hf (0.750, 0.125, 0.250)
Zr (0.250, 0.875, 0.083)
Zr (0.250, 0.375, 0.417)
Zr (0.750, 0.625, 0.583)
Zr (0.750, 0.125, 0.917)
C (0.750, 0.873, 0.084)
C (0.250, 0.625, 0.250)
C (0.250, 0.123, 0.585)
C (0.750, 0.875, 0.750)
C (0.250, 0.127, 0.916)
C (0.250, 0.623, 0.915)
C (0.750, 0.377, 0.085)
C (0.750, 0.373, 0.416)
C (0.250, 0.125, 0.250)
C (0.750, 0.375, 0.750)
C (0.250, 0.627, 0.584)
C (0.750, 0.877, 0.415)